Entry from the Alexandria database: YAlZnSn2 after structural relaxation (PBE-GGA).

```
YAlZnSn2
1.0
5.823 0.000 0.000
0.000 5.755 0.000
0.000 0.000 5.823
Al Zn Y Sn
1 1 1 2
Cartesian
0.000 2.878 0.000
2.911 2.878 2.911
0.000 0.000 0.000
2.911 0.000 0.000
0.000 0.000 2.911
```

Energy of formation from the pure elements: 0.7850 eV per atom
M_tot: 0.00 μB/f.u.



Entry from the Alexandria database: AlZn3Sn after structural relaxation (PBE-GGA).

```
AlZn3Sn
1.0
-4.117 -1.074 2.362
2.490 -0.384 4.164
-0.733 4.731 0.874
Al Zn Sn
1 3 1
Cartesian
0.000 0.000 0.000
1.245 -0.192 2.082
-0.366 2.365 0.437
-2.058 -0.537 1.181
-1.180 1.636 3.700
```

Energy of formation from the pure elements: 0.4437 eV per atom
ΔE to the lowest computed polymorph: 0 kJ/mol of formula units
M_tot: 0.00 μB/f.u.